Entry 1:
Cs2LaC | PBE | optimized geometry

Structure (extended XYZ):
```
16
Lattice="7.751 0.000 0.000 0.000 7.751 0.000 0.000 0.000 7.751" Properties=species:S:1:pos:R:3 pbc="T T T"
Cs 1.938 1.938 1.938
Cs 1.938 1.938 5.813
Cs 1.938 5.813 1.938
Cs 1.938 5.813 5.813
Cs 5.813 1.938 1.938
Cs 5.813 1.938 5.813
Cs 5.813 5.813 1.938
Cs 5.813 5.813 5.813
La 0.000 0.000 0.000
La 0.000 3.876 3.876
La 3.876 0.000 3.876
La 3.876 3.876 0.000
C 0.000 0.000 3.876
C 0.000 3.876 0.000
C 3.876 0.000 0.000
C 3.876 3.876 3.876
```

Properties
**VASP energy**: -33.96 eV/cell
**SG**: No. 225

Entry 2:
Sc4InCoRu2 | PBE | optimized geometry

Structure (extended XYZ):
```
8
Lattice="2.310 1.334 7.592 -2.310 1.334 7.592 0.000 -2.667 7.592" Properties=species:S:1:pos:R:3 pbc="T T T"
Sc 0.000 0.000 2.629
Sc 0.000 0.000 8.404
Sc 0.000 0.000 14.371
Sc 0.000 0.000 20.146
In 0.000 0.000 11.388
Co 0.000 0.000 0.000
Ru 0.000 0.000 5.681
Ru 0.000 0.000 17.094
```

Properties
**VASP energy**: -57.47 eV/cell
**SG**: No. 166

Entry 3:
SrTa2Ag | PBE | optimized geometry

Structure (extended XYZ):
```
12
Lattice="2.996 0.000 0.000 -1.498 2.595 0.000 0.000 0.000 32.845" Properties=species:S:1:pos:R:3 pbc="T T T"
Sr 0.000 0.000 0.000
Sr 0.000 1.730 21.897
Sr 1.498 0.865 10.948
Ta 0.000 0.000 7.910
Ta 0.000 0.000 24.935
Ta 0.000 1.730 13.986
Ta 0.000 1.730 29.807
Ta 1.498 0.865 3.038
Ta 1.498 0.865 18.859
Ag 0.000 0.000 16.422
Ag 0.000 1.730 5.474
Ag 1.498 0.865 27.371
```

Properties
**SG**: No. 166
**Distance to the lowest polymorph of the same formula**: 431 meV/atom

What is the formula in the third record?
SrTa2Ag

Copy entry 3 word for word.
SrTa2Ag | PBE | optimized geometry

Structure (extended XYZ):
```
12
Lattice="2.996 0.000 0.000 -1.498 2.595 0.000 0.000 0.000 32.845" Properties=species:S:1:pos:R:3 pbc="T T T"
Sr 0.000 0.000 0.000
Sr 0.000 1.730 21.897
Sr 1.498 0.865 10.948
Ta 0.000 0.000 7.910
Ta 0.000 0.000 24.935
Ta 0.000 1.730 13.986
Ta 0.000 1.730 29.807
Ta 1.498 0.865 3.038
Ta 1.498 0.865 18.859
Ag 0.000 0.000 16.422
Ag 0.000 1.730 5.474
Ag 1.498 0.865 27.371
```

Properties
**SG**: No. 166
**Distance to the lowest polymorph of the same formula**: 431 meV/atom